DFT (PBE) results for a relaxed structure of Zr2TiSn.

Values from the calculation:
formation energy = 0.1726 eV/atom
total DFT energy (no corrections) = -28.30 eV/cell
size of the total moment = 1.36 Bohr magnetons per cell
mass density = 6434 kg/m³

Cell lengths 3.1170, 3.1170, 10.8566 Å; angles 81.75, 81.75, 60.00 degrees
Fractional positions:
Zr  0.0868  0.0868  0.7395
Zr  0.9132  0.9132  0.2605
Sn  0.5000  0.5000  0.5000
Ti  0.0000  0.0000  0.0000